# PBE K2ZnSiC, relaxed
data_K2ZnSiC
_cell_length_a 6.657
_cell_length_b 3.509
_cell_length_c 6.657
_cell_angle_alpha 90.00
_cell_angle_beta 90.00
_cell_angle_gamma 90.00
_symmetry_space_group_name_H-M 'P 1'
_symmetry_Int_Tables_number 1
_symmetry_space_group_name_Hall 'P 1'
loop_
_atom_site_label
_atom_site_type_symbol
_atom_site_fract_x
_atom_site_fract_y
_atom_site_fract_z
K1 K 0.500 0.000 0.000
K2 K 0.000 0.000 0.500
Zn1 Zn 0.500 0.500 0.500
C1 C 0.000 0.500 0.000
Si1 Si 0.000 0.000 0.000
# **Raw formation energy**: 656.8 meV per atom
# **Total energy**: -2.966 eV/atom